A geometry-optimized Ac5CoAg2Rh structure. Source: Alexandria, functional GGA-PBE.

Space group: Cmc2_1, No. 36
Total energy (eV/atom): -4.762
Volume (Å³/atom): 30.58

Lattice parameters (Å, degrees): 5.287 9.433 11.498 90.00 90.00 106.27
Fractional coordinates of all 18 atoms:
Rh 0.793 0.586 0.509
Ac 0.500 0.001 0.258
Ac 0.640 0.280 0.508
Ac 0.699 0.397 0.163
Ac 0.301 0.603 0.663
Ag 0.116 0.231 0.305
Ac 0.960 0.919 0.508
Co 0.447 0.894 0.508
Ac 0.360 0.720 0.008
Ac 0.040 0.081 0.008
Co 0.553 0.106 0.008
Ac 0.500 0.999 0.758
Ac 0.302 0.605 0.354
Ac 0.698 0.395 0.854
Rh 0.207 0.414 0.009
Ag 0.115 0.230 0.711
Ag 0.884 0.769 0.805
Ag 0.885 0.770 0.211